SrVSe2: optimized geometry, PBE.

Cell lengths 6.3991, 6.3991, 12.3308 Å; angles 90.00, 90.00, 90.00 degrees
Fractional coordinates of all 16 atoms:
1 Sr 0.0000 0.0000 0.0000
2 Sr 0.0000 0.5000 0.2500
3 Sr 0.5000 0.0000 0.7500
4 Sr 0.5000 0.5000 0.5000
5 V 0.0000 0.0000 0.5000
6 V 0.0000 0.5000 0.7500
7 V 0.5000 0.0000 0.2500
8 V 0.5000 0.5000 0.0000
9 Se 0.1823 0.2500 0.6250
10 Se 0.2500 0.6823 0.8750
11 Se 0.2500 0.8177 0.3750
12 Se 0.3177 0.2500 0.1250
13 Se 0.6823 0.7500 0.1250
14 Se 0.7500 0.1823 0.3750
15 Se 0.7500 0.3177 0.8750
16 Se 0.8177 0.7500 0.6250

Formation energy (no corrections) (eV/atom): -0.969
Relative energy among the computed polymorphs (kJ/mol of formula units): 0.0